[1]
Na2In2AuO6, relaxed, DFT PBE; SG = No. 12; total magnetization = 1.0 μB per formula unit; E = -53.57 eV/cell; uncorrected formation energy = -1130 meV/atom
1.0
2.816 -4.948 0.000
2.816 4.948 0.000
-1.663 0.000 5.601
Na In Au O
2 2 1 6
Direct
0.162 0.838 0.000
0.838 0.162 0.000
0.334 0.666 0.500
0.666 0.334 0.500
0.000 0.000 0.500
0.055 0.394 0.707
0.250 0.250 0.307
0.394 0.055 0.707
0.606 0.945 0.293
0.750 0.750 0.693
0.945 0.606 0.293

[2]
Na2InAuO, relaxed, DFT PBE; SG = No. 123; total magnetization = 0.0 μB per formula unit; E = -17.28 eV/cell; uncorrected formation energy = -734 meV/atom
1.0
4.480 0.000 0.000
0.000 4.480 0.000
0.000 0.000 4.792
Na In Au O
2 1 1 1
Direct
0.000 0.500 0.000
0.500 0.000 0.000
0.000 0.000 0.500
0.500 0.500 0.500
0.000 0.000 0.000

[3]
Na3In3AuO8, relaxed, DFT PBE; SG = No. 12; total magnetization = 0.7 μB per formula unit; E = -74.30 eV/cell; uncorrected formation energy = -1279 meV/atom
1.0
5.648 -3.297 0.000
5.648 3.297 0.000
-3.811 0.000 5.537
Na In Au O
3 3 1 8
Direct
0.000 0.000 0.000
0.000 0.500 0.000
0.500 0.000 0.000
0.000 0.500 0.500
0.500 0.000 0.500
0.500 0.500 0.500
0.000 0.000 0.500
0.221 0.221 0.699
0.235 0.740 0.707
0.260 0.765 0.293
0.261 0.261 0.288
0.739 0.739 0.712
0.740 0.235 0.707
0.765 0.260 0.293
0.779 0.779 0.301